! PBE-GGA InFe2Br, optimized geometry; values from VASP
&SYSTEM
  ibrav = 0, nat = 4, ntyp = 3
/
ATOMIC_SPECIES
Fe 55.84 Fe.upf
Br 79.90 Br.upf
In 114.82 In.upf
CELL_PARAMETERS angstrom
-2.765 4.765 1.866
-4.584 0.042 3.580
5.318 -2.273 -0.620
ATOMIC_POSITIONS angstrom
Fe -1.471 0.086 2.841
Br -0.561 2.448 1.984
In -3.675 2.403 2.723
Fe 0.000 0.000 0.000
! * total moment: 5.50 μB/cell
! * density: 6.9 g cm⁻³
! * relative energy among the computed polymorphs: 491.0 meV per atom
! * uncorrected formation energy: 15.92 kcal/mol of atoms